First-principles (PBE-GGA) data for a relaxed structure of Ta2BeAs, as listed in the Alexandria database.

Computed properties:
The energy of formation comes out at 83 meV per atom. The value obtained for the magnetization is 0.0 μB per formula unit. As for the theoretical density: 12.08 g/cm³. The volume comes out at 15.3 Å³/atom. As for the density of states at the Fermi level: 5.6 states/eV/cell. As for the space-group type: I4/mmm, No. 139.

extended XYZ file:
```
8
Lattice="4.092 0.000 0.000 0.000 4.092 0.000 0.000 0.000 7.321" Properties=species:S:1:pos:R:3 pbc="T T T"
Ta 0.000 2.046 1.830
Ta 0.000 2.046 5.491
Ta 2.046 0.000 1.830
Ta 2.046 0.000 5.491
Be 0.000 0.000 0.000
Be 2.046 2.046 3.661
As 0.000 0.000 3.661
As 2.046 2.046 0.000
```

=====

First-principles (PBE-GGA) data for a relaxed structure of Ta2BeAs, as listed in the Alexandria database.

Computed properties:
The energy of formation comes out at -302 meV per atom. The value obtained for the magnetization is 0.0 μB per formula unit. As for the theoretical density: 12.58 g/cm³. The volume comes out at 14.7 Å³/atom. As for the density of states at the Fermi level: 2.1 states/eV/cell. As for the space-group type: Pm, No. 6.

extended XYZ file:
```
4
Lattice="3.526 0.000 0.000 0.000 3.556 0.000 -1.761 0.000 4.694" Properties=species:S:1:pos:R:3 pbc="T T T"
Ta 0.000 0.000 0.000
Ta -0.004 1.778 2.854
Be 1.754 0.000 2.224
As 1.768 1.778 0.822
```

=====

First-principles (PBE-GGA) data for a relaxed structure of Ta2BeAs, as listed in the Alexandria database.

Computed properties:
The energy of formation comes out at 305 meV per atom. The value obtained for the magnetization is 0.0 μB per formula unit. As for the theoretical density: 11.33 g/cm³. The volume comes out at 16.3 Å³/atom. As for the density of states at the Fermi level: 15.3 states/eV/cell. As for the space-group type: R3m, No. 160.

extended XYZ file:
```
12
Lattice="2.935 0.000 0.000 -1.467 2.542 0.000 0.000 0.000 26.273" Properties=species:S:1:pos:R:3 pbc="T T T"
Ta 0.000 0.000 0.000
Ta 0.000 0.000 6.210
Ta 0.000 1.694 17.516
Ta 0.000 1.694 23.725
Ta 1.467 0.847 8.758
Ta 1.467 0.847 14.968
Be 0.000 0.000 12.909
Be 0.000 1.694 4.151
Be 1.467 0.847 21.667
As 0.000 0.000 19.759
As 0.000 1.694 11.001
As 1.467 0.847 2.244
```

=====

First-principles (PBE-GGA) data for a relaxed structure of TaBe3As, as listed in the Alexandria database.

Computed properties:
The energy of formation comes out at 1100 meV per atom. The value obtained for the magnetization is 0.0 μB per formula unit. As for the theoretical density: 6.54 g/cm³. The volume comes out at 14.4 Å³/atom. As for the density of states at the Fermi level: 4.1 states/eV/cell. As for the space-group type: Pm-3m, No. 221.

extended XYZ file:
```
5
Lattice="4.156 0.000 0.000 0.000 4.156 0.000 0.000 0.000 4.156" Properties=species:S:1:pos:R:3 pbc="T T T"
Ta 0.000 0.000 0.000
Be 0.000 2.078 2.078
Be 2.078 0.000 2.078
Be 2.078 2.078 0.000
As 2.078 2.078 2.078
```

=====

Repeat the second record exactly.
First-principles (PBE-GGA) data for a relaxed structure of Ta2BeAs, as listed in the Alexandria database.

Computed properties:
The energy of formation comes out at -302 meV per atom. The value obtained for the magnetization is 0.0 μB per formula unit. As for the theoretical density: 12.58 g/cm³. The volume comes out at 14.7 Å³/atom. As for the density of states at the Fermi level: 2.1 states/eV/cell. As for the space-group type: Pm, No. 6.

extended XYZ file:
```
4
Lattice="3.526 0.000 0.000 0.000 3.556 0.000 -1.761 0.000 4.694" Properties=species:S:1:pos:R:3 pbc="T T T"
Ta 0.000 0.000 0.000
Ta -0.004 1.778 2.854
Be 1.754 0.000 2.224
As 1.768 1.778 0.822
```

=====

> Among the records above, which one has the lowest theoretical density?

TaBe3As

=====

> Number 1 is which compound?

Ta2BeAs

=====

> Which value of magnetization does entry 3 give?

0.0 μB per formula unit